The following is a DFT calculation (PBE) of a geometry-optimized AlCuPb structure.

Cell lengths 8.016, 4.039, 7.807 Å; angles 90.00, 90.00, 90.00 degrees
Space group Pnma (No. 62)
Unique sites:
Al 0.067 0.250 0.092 (multiplicity 4)
Cu 0.076 0.250 0.776 (multiplicity 4)
Pb 0.171 0.250 0.436 (multiplicity 4)

Total DFT energy (no corrections): -3.512 eV/atom